1.
DFT (PBE-GGA) results for a relaxed structure of TbTmGaTe3.

Cell and atoms, written as POSCAR:
```
TbTmGaTe3
1.0
2.066 -7.647 0.000
2.066 7.647 0.000
0.000 0.000 10.394
Ga Tb Te Tm
2 2 6 2
Direct
0.523 0.477 0.250
0.477 0.523 0.750
0.221 0.779 0.250
0.779 0.221 0.750
0.652 0.348 0.042
0.877 0.123 0.250
0.652 0.348 0.458
0.348 0.652 0.542
0.123 0.877 0.750
0.348 0.652 0.958
0.000 0.000 0.000
0.000 0.000 0.500
```

---

2.
DFT (PBE-GGA) results for a relaxed structure of TbThGa.

Cell and atoms, written as POSCAR:
```
TbThGa
1.0
-3.076 -3.648 1.485
-4.250 -0.852 -2.487
-0.492 -4.134 -2.765
Ga Tb Th
1 1 1
Direct
0.000 0.000 0.000
0.250 0.250 0.250
0.750 0.750 0.750
```

---

3.
DFT (PBE-GGA) results for a relaxed structure of TbYGa6.

Cell and atoms, written as POSCAR:
```
TbYGa6
1.0
-0.590 4.325 1.301
-0.247 -1.842 6.009
5.276 -0.307 3.411
Ga Tb Y
6 1 1
Direct
0.500 0.603 0.044
0.000 0.897 0.455
0.500 0.603 0.603
0.500 0.044 0.603
0.000 0.455 0.897
0.000 0.897 0.897
0.000 0.416 0.416
0.500 0.083 0.083
```

---

4.
DFT (PBE-GGA) results for a relaxed structure of TbYGa6.

Cell and atoms, written as POSCAR:
```
TbYGa6
1.0
-3.166 1.245 5.279
5.750 -2.508 0.304
1.822 4.191 0.105
Ga Tb Y
6 1 1
Direct
0.296 0.148 0.000
0.852 0.148 0.000
0.852 0.704 0.000
0.148 0.296 0.500
0.148 0.852 0.500
0.704 0.852 0.500
0.333 0.667 0.000
0.667 0.333 0.500
```

---

Asked for final energy across the records above, the calculation gives -4.526 -5.170 -4.202 -4.202 eV per atom in order.